Record 1
Material: YTc2Pt
Method: DFT, PBE
State: relaxed

Results
Calculated total energy: -7.866 eV/atom
ΔE to the lowest computed polymorph: 14.460 kcal/mol of atoms
DOS at the Fermi energy: 5.44 states/eV/f.u.
Spin magnetization: 0.001 Bohr magnetons per cell

Unit cell a=2.8638 b=2.8638 c=29.1911 alpha=90.00 beta=90.00 gamma=120.00
Space group R-3m (No. 166, hexagonal axes)
Unique sites:
1 Y 0.0000 0.0000 0.0000
2 Tc 0.0000 0.0000 0.2422
3 Pt 0.0000 0.0000 0.5000

Record 2
Material: YTc2Pt
Method: DFT, PBE
State: relaxed

Results
Calculated total energy: -8.383 eV/atom
ΔE to the lowest computed polymorph: 2.539 kcal/mol of atoms
DOS at the Fermi energy: 4.80 states/eV/f.u.
Spin magnetization: 0.000 Bohr magnetons per cell

Unit cell a=3.878 b=4.551 c=8.120 alpha=90.00 beta=90.00 gamma=90.00
Space group Imm2 (No. 44)
Unique sites:
1 Y 0.000 0.000 0.000
2 Tc 0.000 0.000 0.448
3 Tc 0.000 0.500 0.759
4 Pt 0.000 0.500 0.230

Record 3
Material: YTc2Pt
Method: DFT, PBE
State: relaxed

Results
Calculated total energy: -8.149 eV/atom
ΔE to the lowest computed polymorph: 7.939 kcal/mol of atoms
DOS at the Fermi energy: 4.56 states/eV/f.u.
Spin magnetization: 0.000 Bohr magnetons per cell

Unit cell a=2.8950 b=2.8950 c=28.5670 alpha=90.00 beta=90.00 gamma=120.00
Space group R3m (No. 160, hexagonal axes)
Unique sites:
1 Y 0.0000 0.0000 0.0000
2 Tc 0.0000 0.0000 0.2400
3 Tc 0.0000 0.0000 0.5028
4 Pt 0.0000 0.0000 0.7543

Record 4
Material: YTc2Pt
Method: DFT, PBE
State: relaxed

Results
Calculated total energy: -8.095 eV/atom
ΔE to the lowest computed polymorph: 9.189 kcal/mol of atoms
DOS at the Fermi energy: 3.93 states/eV/f.u.
Spin magnetization: 0.000 Bohr magnetons per cell

Unit cell a=2.839 b=2.839 c=8.642 alpha=90.00 beta=90.00 gamma=90.00
Space group P4/mmm (No. 123)
Unique sites:
1 Y 0.000 0.000 0.000
2 Tc 0.500 0.500 0.279
3 Pt 0.000 0.000 0.500

Record 5
Material: YTc2Pt
Method: DFT, PBE
State: relaxed

Results
Calculated total energy: -8.152 eV/atom
ΔE to the lowest computed polymorph: 7.862 kcal/mol of atoms
DOS at the Fermi energy: 4.14 states/eV/f.u.
Spin magnetization: 0.000 Bohr magnetons per cell

Unit cell a=5.653 b=8.612 c=2.816 alpha=90.00 beta=90.00 gamma=90.00
Space group Cmmm (No. 65)
Unique sites:
1 Y 0.000 0.000 0.000
2 Tc 0.250 0.250 0.500
3 Pt 0.000 0.500 0.000

Record 6
Material: YTcPt3
Method: DFT, PBE
State: relaxed

Results
Calculated total energy: -5.646 eV/atom
ΔE to the lowest computed polymorph: 25.686 kcal/mol of atoms
DOS at the Fermi energy: 1.87 states/eV/f.u.
Spin magnetization: 3.967 Bohr magnetons per cell

Unit cell a=5.040 b=5.040 c=5.040 alpha=90.00 beta=90.00 gamma=90.00
Space group Pm-3m (No. 221)
Unique sites:
1 Y 0.000 0.000 0.000
2 Tc 0.500 0.500 0.500
3 Pt 0.000 0.000 0.500

Record 7
Material: YTc2Pt
Method: DFT, PBE
State: relaxed

Results
Calculated total energy: -8.322 eV/atom
ΔE to the lowest computed polymorph: 3.940 kcal/mol of atoms
DOS at the Fermi energy: 4.88 states/eV/f.u.
Spin magnetization: 0.000 Bohr magnetons per cell

Unit cell a=9.800 b=3.208 c=4.887 alpha=90.00 beta=103.88 gamma=90.00
Space group C2/m (No. 12)
Unique sites:
1 Y 0.000 0.000 0.000
2 Tc 0.232 0.000 0.676
3 Pt 0.000 0.500 0.500

Record 8
Material: YZrTcPt
Method: DFT, PBE
State: relaxed

Results
Calculated total energy: -8.453 eV/atom
DOS at the Fermi energy: 1.65 states/eV/f.u.
Spin magnetization: 0.000 Bohr magnetons per cell

Unit cell a=6.767 b=6.767 c=6.767 alpha=90.00 beta=90.00 gamma=90.00
Space group F-43m (No. 216)
Unique sites:
1 Y 0.000 0.000 0.000
2 Zr 0.000 0.000 0.500
3 Tc 0.250 0.250 0.750
4 Pt 0.250 0.250 0.250

Record 9
Material: ZnTcPt2
Method: DFT, PBE
State: relaxed

Results
Calculated total energy: -6.077 eV/atom
DOS at the Fermi energy: 3.24 states/eV/f.u.
Spin magnetization: 1.978 Bohr magnetons per cell

Unit cell a=3.903 b=3.903 c=7.850 alpha=90.00 beta=90.00 gamma=90.00
Space group I4/mmm (No. 139)
Unique sites:
1 Zn 0.000 0.000 0.000
2 Tc 0.000 0.000 0.500
3 Pt 0.000 0.500 0.250

Record 10
Material: ZnTcPt2
Method: DFT, PBE
State: relaxed

Results
Calculated total energy: -6.086 eV/atom
DOS at the Fermi energy: 2.72 states/eV/f.u.
Spin magnetization: 0.963 Bohr magnetons per cell

Unit cell a=4.721 b=4.721 c=2.743 alpha=90.00 beta=90.00 gamma=90.00
Space group P4/mmm (No. 123)
Unique sites:
1 Zn 0.000 0.000 0.000
2 Tc 0.500 0.500 0.000
3 Pt 0.000 0.500 0.500

Record 11
Material: ZnTcPt3
Method: DFT, PBE
State: relaxed

Results
Calculated total energy: -4.908 eV/atom
ΔE to the lowest computed polymorph: 0.000 kcal/mol of atoms
DOS at the Fermi energy: 2.14 states/eV/f.u.
Spin magnetization: 4.872 Bohr magnetons per cell

Unit cell a=4.589 b=4.589 c=4.589 alpha=90.00 beta=90.00 gamma=90.00
Space group Pm-3m (No. 221)
Unique sites:
1 Zn 0.000 0.000 0.000
2 Tc 0.500 0.500 0.500
3 Pt 0.000 0.000 0.500

Record 12
Material: ZnTc3Pt
Method: DFT, PBE
State: relaxed

Results
Calculated total energy: -5.753 eV/atom
ΔE to the lowest computed polymorph: 6.865 kcal/mol of atoms
DOS at the Fermi energy: 7.95 states/eV/f.u.
Spin magnetization: 3.435 Bohr magnetons per cell

Unit cell a=4.769 b=4.769 c=4.769 alpha=90.00 beta=90.00 gamma=90.00
Space group Pm-3m (No. 221)
Unique sites:
1 Zn 0.000 0.000 0.000
2 Tc 0.000 0.500 0.500
3 Pt 0.500 0.500 0.500

no.,energy of formation (kcal/mol of atoms)
1,10.22
2,-1.70
3,3.70
4,4.95
5,3.62
6,31.01
7,-0.30
8,-13.80
9,-3.37
10,-3.59
11,24.08
12,44.50